[1]
Density functional theory data (PBE) for an optimized crystal structure of AlFeMo4.

Lattice parameters (Å, degrees): 5.183 5.183 5.183 60.00 60.00 60.00
Fractional coordinates of all 6 atoms:
Al 0.000 0.000 0.000
Fe 0.750 0.750 0.750
Mo 0.375 0.375 0.375
Mo 0.375 0.375 0.874
Mo 0.375 0.874 0.375
Mo 0.874 0.375 0.375

Total magnetic moment: 2.52 μB/f.u.
Formation enthalpy at 0 K: 400 meV per atom
Space group: No. 216



[2]
Density functional theory data (PBE) for an optimized crystal structure of TbDy4Y.

Lattice parameters (Å, degrees): 5.008 6.150 7.109 73.12 89.99 66.07
Fractional coordinates of all 6 atoms:
Tb 0.000 0.000 0.000
Dy 0.333 0.334 0.667
Dy 0.333 0.335 0.166
Dy 0.667 0.665 0.834
Dy 0.667 0.666 0.333
Y 0.000 0.000 0.500

Total magnetic moment: 0.00 μB/f.u.
ΔE to the lowest computed polymorph: 0.0 kJ per mole of atoms
Formation enthalpy at 0 K: 19 meV per atom
Space group: No. 2



[3]
Density functional theory data (PBE) for an optimized crystal structure of MgSc2ReC.

Lattice parameters (Å, degrees): 4.615 4.615 4.015 90.00 90.00 90.00
Fractional coordinates of all 5 atoms:
Mg 0.000 0.000 0.000
Sc 0.000 0.500 0.500
Sc 0.500 0.000 0.500
Re 0.500 0.500 0.000
C 0.500 0.500 0.500

Total magnetic moment: 0.00 μB/f.u.
Formation enthalpy at 0 K: -290 meV per atom
Space group: No. 123



Question: What is the formation enthalpy at 0 K in the third record?
Answer: -290 meV per atom